# Zr3Sn4Au4 | the Open Quantum Materials Database | PBE | optimized geometry
# - Relative energy among the computed polymorphs: 0.00 eV/f.u.
# - Total magnetic moment: 0.000 μB per formula unit
data_Zr3Sn4Au4
_chemical_formula_sum 'Zr3 Sn4 Au4'
_space_group_name_H-M_alt 'P 1'
_space_group_IT_number 1
_space_group_name_Hall 'P 1'
_cell_length_a 7.9310
_cell_length_b 7.9310
_cell_length_c 7.9310
_cell_angle_alpha 131.83
_cell_angle_beta 131.83
_cell_angle_gamma 70.51
loop_
_atom_site_label
_atom_site_type_symbol
_atom_site_fract_x
_atom_site_fract_y
_atom_site_fract_z
Zr1 Zr 0.0000 0.0000 0.0000
Zr2 Zr 0.2500 0.7500 0.5000
Zr3 Zr 0.7500 0.2500 0.5000
Sn1 Sn 0.0000 0.5000 0.5000
Sn2 Sn 0.2629 0.2629 0.0000
Sn3 Sn 0.5000 0.0000 0.5000
Sn4 Sn 0.7371 0.7371 0.0000
Au1 Au 0.1167 0.6316 0.0000
Au2 Au 0.3684 0.3684 0.4850
Au3 Au 0.6316 0.1167 0.0000
Au4 Au 0.8833 0.8833 0.5150


# Zr3Sn4Au4 | the Open Quantum Materials Database | PBE | optimized geometry
# - Relative energy among the computed polymorphs: 0.64 eV/f.u.
# - Total magnetic moment: 0.003 μB per formula unit
data_Zr3Sn4Au4
_chemical_formula_sum 'Zr3 Sn4 Au4'
_space_group_name_H-M_alt 'P 1'
_space_group_IT_number 1
_space_group_name_Hall 'P 1'
_cell_length_a 6.6727
_cell_length_b 4.5433
_cell_length_c 8.0909
_cell_angle_alpha 90.00
_cell_angle_beta 91.29
_cell_angle_gamma 90.00
loop_
_atom_site_label
_atom_site_type_symbol
_atom_site_fract_x
_atom_site_fract_y
_atom_site_fract_z
Zr1 Zr 0.0000 0.0000 0.0000
Zr2 Zr 0.0212 0.5000 0.4521
Zr3 Zr 0.5111 0.0000 0.9721
Sn1 Sn 0.2872 0.5000 0.1354
Sn2 Sn 0.3035 0.0000 0.6448
Sn3 Sn 0.7027 0.0000 0.3287
Sn4 Sn 0.7244 0.5000 0.7997
Au1 Au 0.1739 0.5000 0.8048
Au2 Au 0.2658 0.0000 0.3162
Au3 Au 0.7733 0.5000 0.1463
Au4 Au 0.8494 0.0000 0.6458


# Zr6SnAu | the Open Quantum Materials Database | PBE | optimized geometry
# - Total magnetic moment: 0.004 μB per formula unit
data_Zr6SnAu
_chemical_formula_sum 'Zr6 Sn1 Au1'
_space_group_name_H-M_alt 'P 1'
_space_group_IT_number 1
_space_group_name_Hall 'P 1'
_cell_length_a 5.5711
_cell_length_b 5.5711
_cell_length_c 5.5711
_cell_angle_alpha 90.00
_cell_angle_beta 90.00
_cell_angle_gamma 90.00
loop_
_atom_site_label
_atom_site_type_symbol
_atom_site_fract_x
_atom_site_fract_y
_atom_site_fract_z
Zr1 Zr 0.0000 0.2457 0.5000
Zr2 Zr 0.0000 0.7543 0.5000
Zr3 Zr 0.2457 0.5000 0.0000
Zr4 Zr 0.5000 0.0000 0.2457
Zr5 Zr 0.5000 0.0000 0.7543
Zr6 Zr 0.7543 0.5000 0.0000
Sn1 Sn 0.5000 0.5000 0.5000
Au1 Au 0.0000 0.0000 0.0000


# Zr2Sn3Au2 | the Open Quantum Materials Database | PBE | optimized geometry
# - Total magnetic moment: 0.018 μB per formula unit
data_Zr2Sn3Au2
_chemical_formula_sum 'Zr2 Sn3 Au2'
_space_group_name_H-M_alt 'P 1'
_space_group_IT_number 1
_space_group_name_Hall 'P 1'
_cell_length_a 8.8961
_cell_length_b 8.8961
_cell_length_c 8.8961
_cell_angle_alpha 30.73
_cell_angle_beta 30.73
_cell_angle_gamma 30.73
loop_
_atom_site_label
_atom_site_type_symbol
_atom_site_fract_x
_atom_site_fract_y
_atom_site_fract_z
Zr1 Zr 0.0000 0.0000 0.0000
Zr2 Zr 0.4973 0.4973 0.4973
Sn1 Sn 0.3863 0.3863 0.3863
Sn2 Sn 0.6231 0.6231 0.6231
Sn3 Sn 0.8668 0.8668 0.8668
Au1 Au 0.2386 0.2386 0.2386
Au2 Au 0.7530 0.7530 0.7530


The following is a PBE calculation of Sr5Au2 after structural relaxation, from the Open Quantum Materials Database.

```
data_Sr5Au2
_chemical_formula_sum 'Sr10 Au4'
_space_group_name_H-M_alt 'P 1'
_space_group_IT_number 1
_space_group_name_Hall 'P 1'
_cell_length_a 9.8042
_cell_length_b 9.8042
_cell_length_c 8.1935
_cell_angle_alpha 97.18
_cell_angle_beta 97.18
_cell_angle_gamma 43.97
loop_
_atom_site_label
_atom_site_type_symbol
_atom_site_fract_x
_atom_site_fract_y
_atom_site_fract_z
Sr1 Sr 0.0742 0.9258 0.7500
Sr2 Sr 0.1319 0.2989 0.3133
Sr3 Sr 0.2989 0.1319 0.8133
Sr4 Sr 0.3106 0.5023 0.0833
Sr5 Sr 0.4977 0.6894 0.4167
Sr6 Sr 0.5023 0.3106 0.5833
Sr7 Sr 0.6894 0.4977 0.9167
Sr8 Sr 0.7011 0.8681 0.1867
Sr9 Sr 0.8681 0.7011 0.6867
Sr10 Sr 0.9258 0.0742 0.2500
Au1 Au 0.0913 0.6848 0.4166
Au2 Au 0.3152 0.9087 0.0834
Au3 Au 0.6848 0.0913 0.9166
Au4 Au 0.9087 0.3152 0.5834
```


The following is a PBE calculation of Sr4Au after structural relaxation, from the Open Quantum Materials Database.

```
data_Sr4Au
_chemical_formula_sum 'Sr8 Au2'
_space_group_name_H-M_alt 'P 1'
_space_group_IT_number 1
_space_group_name_Hall 'P 1'
_cell_length_a 8.2102
_cell_length_b 8.2102
_cell_length_c 6.6289
_cell_angle_alpha 90.00
_cell_angle_beta 90.00
_cell_angle_gamma 90.00
loop_
_atom_site_label
_atom_site_type_symbol
_atom_site_fract_x
_atom_site_fract_y
_atom_site_fract_z
Sr1 Sr 0.1636 0.3364 0.0000
Sr2 Sr 0.1702 0.6702 0.5000
Sr3 Sr 0.3298 0.1702 0.5000
Sr4 Sr 0.3364 0.8364 0.0000
Sr5 Sr 0.6636 0.1636 0.0000
Sr6 Sr 0.6702 0.8298 0.5000
Sr7 Sr 0.8298 0.3298 0.5000
Sr8 Sr 0.8364 0.6636 0.0000
Au1 Au 0.0000 0.0000 0.0000
Au2 Au 0.5000 0.5000 0.0000
```


The following is a PBE calculation of Sr7Au3 after structural relaxation, from the Open Quantum Materials Database.

```
data_Sr7Au3
_chemical_formula_sum 'Sr14 Au6'
_space_group_name_H-M_alt 'P 1'
_space_group_IT_number 1
_space_group_name_Hall 'P 1'
_cell_length_a 11.0840
_cell_length_b 11.0840
_cell_length_c 7.1317
_cell_angle_alpha 90.00
_cell_angle_beta 90.00
_cell_angle_gamma 120.00
loop_
_atom_site_label
_atom_site_type_symbol
_atom_site_fract_x
_atom_site_fract_y
_atom_site_fract_z
Sr1 Sr 0.0843 0.5422 0.0000
Sr2 Sr 0.1250 0.2501 0.6847
Sr3 Sr 0.1250 0.8750 0.6847
Sr4 Sr 0.2501 0.1250 0.1847
Sr5 Sr 0.3333 0.6667 0.4810
Sr6 Sr 0.4578 0.5422 0.0000
Sr7 Sr 0.4578 0.9157 0.0000
Sr8 Sr 0.5422 0.0843 0.5000
Sr9 Sr 0.5422 0.4578 0.5000
Sr10 Sr 0.6667 0.3333 0.9810
Sr11 Sr 0.7499 0.8750 0.6847
Sr12 Sr 0.8750 0.1250 0.1847
Sr13 Sr 0.8750 0.7499 0.1847
Sr14 Sr 0.9157 0.4578 0.5000
Au1 Au 0.1883 0.3765 0.2665
Au2 Au 0.1883 0.8117 0.2665
Au3 Au 0.3765 0.1883 0.7665
Au4 Au 0.6235 0.8117 0.2665
Au5 Au 0.8117 0.1883 0.7665
Au6 Au 0.8117 0.6235 0.7665
```


# SrTaAu | the Open Quantum Materials Database | PBE | optimized geometry
# - Relative energy among the computed polymorphs: 2.30 eV/f.u.
# - Total magnetic moment: 3.950 μB per formula unit
data_SrTaAu
_chemical_formula_sum 'Sr4 Ta4 Au4'
_space_group_name_H-M_alt 'P 1'
_space_group_IT_number 1
_space_group_name_Hall 'P 1'
_cell_length_a 7.1702
_cell_length_b 7.1702
_cell_length_c 7.1702
_cell_angle_alpha 90.00
_cell_angle_beta 90.00
_cell_angle_gamma 90.00
loop_
_atom_site_label
_atom_site_type_symbol
_atom_site_fract_x
_atom_site_fract_y
_atom_site_fract_z
Sr1 Sr 0.0000 0.0000 0.0000
Sr2 Sr 0.0000 0.5000 0.5000
Sr3 Sr 0.5000 0.0000 0.5000
Sr4 Sr 0.5000 0.5000 0.0000
Ta1 Ta 0.2500 0.2500 0.2500
Ta2 Ta 0.2500 0.7500 0.7500
Ta3 Ta 0.7500 0.2500 0.7500
Ta4 Ta 0.7500 0.7500 0.2500
Au1 Au 0.2500 0.2500 0.7500
Au2 Au 0.2500 0.7500 0.2500
Au3 Au 0.7500 0.2500 0.2500
Au4 Au 0.7500 0.7500 0.7500


# SrTbTe3Au | the Open Quantum Materials Database | PBE | optimized geometry
# - Total magnetic moment: 0.001 μB per formula unit
data_SrTbTe3Au
_chemical_formula_sum 'Sr2 Tb2 Te6 Au2'
_space_group_name_H-M_alt 'P 1'
_space_group_IT_number 1
_space_group_name_Hall 'P 1'
_cell_length_a 8.4904
_cell_length_b 4.3375
_cell_length_c 10.5688
_cell_angle_alpha 90.00
_cell_angle_beta 106.03
_cell_angle_gamma 90.00
loop_
_atom_site_label
_atom_site_type_symbol
_atom_site_fract_x
_atom_site_fract_y
_atom_site_fract_z
Sr1 Sr 0.2305 0.2500 0.2876
Sr2 Sr 0.7695 0.7500 0.7124
Tb1 Tb 0.3130 0.7500 0.8298
Tb2 Tb 0.6870 0.2500 0.1702
Te1 Te 0.0647 0.2500 0.8519
Te2 Te 0.2837 0.7500 0.5358
Te3 Te 0.4190 0.7500 0.1384
Te4 Te 0.5810 0.2500 0.8616
Te5 Te 0.7163 0.2500 0.4642
Te6 Te 0.9353 0.7500 0.1481
Au1 Au 0.0950 0.2500 0.5971
Au2 Au 0.9050 0.7500 0.4029


# SrTbTe3Au | the Open Quantum Materials Database | PBE | optimized geometry
# - Total magnetic moment: 0.001 μB per formula unit
data_SrTbTe3Au
_chemical_formula_sum 'Sr2 Tb2 Te6 Au2'
_space_group_name_H-M_alt 'P 1'
_space_group_IT_number 1
_space_group_name_Hall 'P 1'
_cell_length_a 10.1971
_cell_length_b 10.1971
_cell_length_c 8.8821
_cell_angle_alpha 100.48
_cell_angle_beta 100.48
_cell_angle_gamma 24.69
loop_
_atom_site_label
_atom_site_type_symbol
_atom_site_fract_x
_atom_site_fract_y
_atom_site_fract_z
Sr1 Sr 0.1237 0.1237 0.0801
Sr2 Sr 0.8763 0.8763 0.9199
Tb1 Tb 0.1617 0.1617 0.5951
Tb2 Tb 0.8383 0.8383 0.4049
Te1 Te 0.0000 0.0000 0.5000
Te2 Te 0.3123 0.3123 0.1499
Te3 Te 0.3235 0.3235 0.6399
Te4 Te 0.5000 0.5000 0.0000
Te5 Te 0.6765 0.6765 0.3601
Te6 Te 0.6877 0.6877 0.8501
Au1 Au 0.4483 0.4483 0.2884
Au2 Au 0.5517 0.5517 0.7116


# SrTmAu | the Open Quantum Materials Database | PBE | optimized geometry
# - Total magnetic moment: 0.006 μB per formula unit
data_SrTmAu
_chemical_formula_sum 'Sr4 Tm4 Au4'
_space_group_name_H-M_alt 'P 1'
_space_group_IT_number 1
_space_group_name_Hall 'P 1'
_cell_length_a 7.0505
_cell_length_b 7.0505
_cell_length_c 7.0505
_cell_angle_alpha 90.00
_cell_angle_beta 90.00
_cell_angle_gamma 90.00
loop_
_atom_site_label
_atom_site_type_symbol
_atom_site_fract_x
_atom_site_fract_y
_atom_site_fract_z
Sr1 Sr 0.0000 0.0000 0.0000
Sr2 Sr 0.0000 0.5000 0.5000
Sr3 Sr 0.5000 0.0000 0.5000
Sr4 Sr 0.5000 0.5000 0.0000
Tm1 Tm 0.2500 0.2500 0.7500
Tm2 Tm 0.2500 0.7500 0.2500
Tm3 Tm 0.7500 0.2500 0.2500
Tm4 Tm 0.7500 0.7500 0.7500
Au1 Au 0.0000 0.0000 0.5000
Au2 Au 0.0000 0.5000 0.0000
Au3 Au 0.5000 0.0000 0.0000
Au4 Au 0.5000 0.5000 0.5000


# SrW2Au | the Open Quantum Materials Database | PBE | optimized geometry
# - Total magnetic moment: 0.058 μB per formula unit
data_SrW2Au
_chemical_formula_sum 'Sr4 W8 Au4'
_space_group_name_H-M_alt 'P 1'
_space_group_IT_number 1
_space_group_name_Hall 'P 1'
_cell_length_a 6.7732
_cell_length_b 6.7732
_cell_length_c 6.7732
_cell_angle_alpha 90.00
_cell_angle_beta 90.00
_cell_angle_gamma 90.00
loop_
_atom_site_label
_atom_site_type_symbol
_atom_site_fract_x
_atom_site_fract_y
_atom_site_fract_z
Sr1 Sr 0.0000 0.0000 0.0000
Sr2 Sr 0.0000 0.5000 0.5000
Sr3 Sr 0.5000 0.0000 0.5000
Sr4 Sr 0.5000 0.5000 0.0000
W1 W 0.0000 0.0000 0.5000
W2 W 0.0000 0.5000 0.0000
W3 W 0.2500 0.2500 0.7500
W4 W 0.2500 0.7500 0.2500
W5 W 0.5000 0.0000 0.0000
W6 W 0.5000 0.5000 0.5000
W7 W 0.7500 0.2500 0.2500
W8 W 0.7500 0.7500 0.7500
Au1 Au 0.2500 0.2500 0.2500
Au2 Au 0.2500 0.7500 0.7500
Au3 Au 0.7500 0.2500 0.7500
Au4 Au 0.7500 0.7500 0.2500


For reference, total DFT energy (no corrections) by record: -5.415 -5.357 -7.696 -5.136 -2.645 -2.129 -2.692 -4.032 -4.360 -4.321 -2.988 -6.800 eV per atom.